# 1
La2Rh2Pb: relaxed, GGA-PBE.

Cell and atoms, written as POSCAR:
```
La2Rh2Pb
1.0
5.6326 0.0000 0.0000
0.0000 5.6326 0.0000
0.0000 0.0000 8.2689
La Rh Pb
4 4 2
Cartesian
0.0000 2.8163 2.0672 La
0.0000 2.8163 6.2016 La
2.8163 0.0000 2.0672 La
2.8163 0.0000 6.2016 La
0.0000 0.0000 1.3501 Rh
0.0000 0.0000 6.9187 Rh
2.8163 2.8163 2.7843 Rh
2.8163 2.8163 5.4845 Rh
0.0000 0.0000 4.1344 Pb
2.8163 2.8163 0.0000 Pb
```

## Properties
Density of states at the Fermi level = 4.61 states/eV/f.u.
Total energy = -61.87 eV for the cell shown
DFT formation energy = -0.534 eV per atom

# 2
KIrOs: relaxed, GGA-PBE.

Cell and atoms, written as POSCAR:
```
KIrOs
1.0
6.4147 0.0000 0.0000
0.0000 6.4147 0.0000
0.0000 0.0000 6.4147
K Ir Os
4 4 4
Cartesian
0.0000 0.0000 0.0000 K
0.0000 3.2073 3.2073 K
3.2073 0.0000 3.2073 K
3.2073 3.2073 0.0000 K
1.6037 1.6037 1.6037 Ir
1.6037 4.8110 4.8110 Ir
4.8110 1.6037 4.8110 Ir
4.8110 4.8110 1.6037 Ir
1.6037 1.6037 4.8110 Os
1.6037 4.8110 1.6037 Os
4.8110 1.6037 1.6037 Os
4.8110 4.8110 4.8110 Os
```

## Properties
Density of states at the Fermi level = 2.80 states/eV/f.u.
Total energy = -48.01 eV for the cell shown
DFT formation energy = 3.062 eV per atom

# 3
KScBP2HO9: relaxed, GGA-PBE.

Cell and atoms, written as POSCAR:
```
KScBP2HO9
1.0
5.3392 0.0000 0.0000
1.4572 8.2481 0.0000
0.5021 0.1984 8.5192
K Sc B P H O
2 2 2 4 2 18
Cartesian
1.5089 1.0704 2.7840 K
5.7897 7.3760 5.7352 K
1.8457 1.8269 6.8722 Sc
5.4528 6.6196 1.6470 Sc
3.2594 4.8026 6.1635 B
4.0391 3.6439 2.3557 B
3.2008 6.8238 8.0167 P
2.8895 5.8645 3.5899 P
4.4090 2.5820 4.9293 P
4.0977 1.6226 0.5025 P
1.7496 4.5237 7.4712 H
5.5489 3.9228 1.0480 H
1.8363 6.2795 8.5169 O
1.6871 6.6421 3.0573 O
2.2231 3.9727 6.8112 O
2.9616 8.0455 7.0976 O
2.5900 5.6393 5.1108 O
2.9625 4.4582 2.9106 O
3.6710 6.9363 0.6282 O
3.0921 1.8090 5.1155 O
3.8956 5.7055 7.1378 O
3.4029 2.7409 1.3815 O
4.2065 6.6375 3.4037 O
3.6276 1.5102 7.8910 O
4.3360 3.9883 5.6086 O
4.7086 2.8072 3.4085 O
4.3370 0.4010 1.4217 O
5.0754 4.4738 1.7081 O
5.6114 1.8044 5.4620 O
5.4623 2.1670 0.0023 O
```

## Properties
Density of states at the Fermi level = 0.00 states/eV/f.u.
Total energy = -219.63 eV for the cell shown

# 4
PaCoPt: relaxed, GGA-PBE.

Cell and atoms, written as POSCAR:
```
PaCoPt
1.0
4.3120 0.0000 0.0000
-2.1560 3.7343 0.0000
0.0000 0.0000 3.4623
Pa Co Pt
1 1 1
Cartesian
0.0000 0.0000 0.0000 Pa
2.1560 1.2448 1.7311 Co
0.0000 2.4895 1.7311 Pt
```

## Properties
Density of states at the Fermi level = 4.47 states/eV/f.u.
Total energy = -24.12 eV for the cell shown
DFT formation energy = -0.494 eV per atom

# 5
MgBe2Si2: relaxed, GGA-PBE.

Cell and atoms, written as POSCAR:
```
MgBe2Si2
1.0
6.9362 0.0000 0.0000
0.0000 3.7930 0.0000
-1.0139 0.0000 5.6760
Mg Be Si
2 4 4
Cartesian
0.0000 0.0000 0.0000 Mg
3.4681 1.8965 0.0000 Mg
1.1755 1.8965 1.9374 Be
1.2788 0.0000 3.7386 Be
4.6436 0.0000 1.9374 Be
4.7469 1.8965 3.7386 Be
0.0553 1.8965 3.9396 Si
2.3989 0.0000 1.7364 Si
3.5234 0.0000 3.9396 Si
5.8671 1.8965 1.7364 Si
```

## Properties
Density of states at the Fermi level = 0.96 states/eV/f.u.
Total energy = -38.87 eV for the cell shown

# 6
Ba4Al3Ga2: relaxed, GGA-PBE.

Cell and atoms, written as POSCAR:
```
Ba4Al3Ga2
1.0
8.8689 -2.1784 0.0000
8.8689 2.1784 0.0000
-2.1718 0.0000 7.6796
Ba Al Ga
4 3 2
Cartesian
0.4944 0.0000 2.9277 Ba
2.8533 0.0000 6.0899 Ba
12.7127 0.0000 1.5897 Ba
15.0715 0.0000 4.7518 Ba
6.7926 0.0000 1.7971 Al
8.8689 0.0000 0.0000 Al
8.7734 0.0000 5.8825 Al
-0.3625 0.0000 7.4423 Ga
15.9285 0.0000 0.2372 Ga
```

## Properties
Density of states at the Fermi level = 7.78 states/eV/f.u.
Total energy = -27.13 eV for the cell shown
DFT formation energy = -0.240 eV per atom

Question: The lowest density of states at the Fermi level belongs to which entry?
Answer: KScBP2HO9